# 1
The following is a DFT calculation (PBE-GGA) of an optimized crystal structure of MnAl2Cr.

Lattice parameters (Å, degrees): 4.869 4.869 4.869 144.32 129.42 63.43
Each line ends with the local moment (μB).
Positions (direct):
Al: 0.739 0.239 0.500  0.00
Mn: 0.268 0.768 0.500  -0.34
Cr: 0.478 0.478 0.000  0.66
Al: 0.016 0.016 0.000  0.00

Computed properties:
- E_form: -0.148 eV/atom
- Space group: Imm2 (44)
- Crystal system: orthorhombic

# 2
The following is a DFT calculation (PBE-GGA) of an optimized crystal structure of CaMnTe2.

Lattice parameters (Å, degrees): 5.354 5.354 5.354 60.00 60.00 60.00
Each line ends with the local moment (μB).
Positions (direct):
Ca: 0.500 0.500 0.500  0.02
Mn: 0.750 0.750 0.750  4.19
Te: 0.250 0.250 0.250  0.09
Te: 0.000 0.000 0.000  0.01

Computed properties:
- Space group: F-43m (216)
- Formation energy from raw total energies: -0.01 eV per atom
- Excess energy over the best structure of this formula in the dataset: 0.811 eV per atom
- Crystal system: cubic

# 3
The following is a DFT calculation (PBE-GGA) of an optimized crystal structure of Zn2Te.

Lattice parameters (Å, degrees): 6.621 6.621 6.621 151.83 151.83 40.27
Positions (direct):
Zn: 0.192 0.192 0.000
Te: 0.500 0.500 0.000
Zn: 0.808 0.808 0.000

Computed properties:
- Space group: I4/mmm (139)
- Formation energy from raw total energies: 0.20 eV per atom
- Excess energy over the best structure of this formula in the dataset: 0.316 eV per atom
- Crystal system: tetragonal

# 4
The following is a DFT calculation (PBE-GGA) of an optimized crystal structure of BeZn2Ru2.

Lattice parameters (Å, degrees): 5.843 5.843 4.092 90.00 90.00 90.00
Positions (direct):
Ru: 0.149 0.351 0.000
Zn: 0.663 0.837 0.500
Ru: 0.851 0.649 0.000
Zn: 0.337 0.163 0.500
Zn: 0.837 0.337 0.500
Ru: 0.351 0.851 0.000
Ru: 0.649 0.149 0.000
Zn: 0.163 0.663 0.500
Be: 0.500 0.500 0.000
Be: 0.000 0.000 0.000

Computed properties:
- E_form: 0.048 eV/atom
- Space group: P4/mbm (127)
- Crystal system: tetragonal

# 5
The following is a DFT calculation (PBE-GGA) of an optimized crystal structure of ZnHgOs2W.

Lattice parameters (Å, degrees): 4.534 4.512 4.534 90.00 90.00 90.00
Positions (direct):
Os: 0.500 0.000 0.000
Os: 0.000 0.000 0.500
Hg: 0.000 0.500 0.000
Zn: 0.000 0.000 0.000
W: 0.500 0.500 0.500

Computed properties:
- E_form: 2.158 eV/atom
- Space group: P4/mmm (123)
- Crystal system: tetragonal

# 6
The following is a DFT calculation (PBE-GGA) of an optimized crystal structure of MgTl2Te2.

Lattice parameters (Å, degrees): 8.078 8.078 5.163 90.00 90.00 90.00
Positions (direct):
Tl: 0.860 0.360 0.500
Te: 0.679 0.179 0.000
Mg: 0.000 0.000 0.000
Tl: 0.360 0.140 0.500
Mg: 0.500 0.500 0.000
Tl: 0.140 0.640 0.500
Te: 0.821 0.679 0.000
Tl: 0.640 0.860 0.500
Te: 0.179 0.321 0.000
Te: 0.321 0.821 0.000

Computed properties:
- Space group: P4/mbm (127)
- Formation energy from raw total energies: -0.29 eV per atom
- Excess energy over the best structure of this formula in the dataset: 0.222 eV per atom
- Crystal system: tetragonal

# 7
The following is a DFT calculation (PBE-GGA) of an optimized crystal structure of Th2Ga3Ni4Ir.

Lattice parameters (Å, degrees): 4.054 4.054 10.365 90.00 90.00 90.00
Positions (direct):
Ga: 0.500 0.000 0.877
Ir: 0.500 0.500 0.500
Ni: 0.000 0.000 0.000
Th: 0.500 0.000 0.257
Ga: 0.000 0.000 0.500
Ni: 0.500 0.500 0.000
Ni: 0.500 0.000 0.646
Ga: 0.000 0.500 0.123
Th: 0.000 0.500 0.743
Ni: 0.000 0.500 0.354

Computed properties:
- E_form: -0.526 eV/atom
- Space group: P-4m2 (115)
- Crystal system: tetragonal

# 8
The following is a DFT calculation (PBE-GGA) of an optimized crystal structure of CsCaLaPt2.

Lattice parameters (Å, degrees): 5.418 5.600 5.418 90.00 90.00 90.00
Positions (direct):
Ca: 0.500 0.500 0.500
La: 0.000 0.500 0.000
Pt: 0.500 0.000 0.000
Pt: 0.000 0.000 0.500
Cs: 0.000 0.000 0.000

Computed properties:
- E_form: 1.005 eV/atom
- Space group: P4/mmm (123)
- Crystal system: tetragonal

no.,spin magnetization (μB per atom)
1,0.090
2,1.210
3,0.000
4,0.000
5,0.001
6,0.000
7,0.000
8,0.000